[1]
Entry from Alexandria via LeMat-Bulk: LiTl2Cu2F6 after structural relaxation (PBE-GGA).

a b c (Å): 5.9045 6.2511 6.5145
angles (deg): 121.11 90.00 118.18
Atoms (fractional coordinates):
F1 0.7288 0.4576 0.7200
F2 0.2712 0.5424 0.2800
F3 0.2216 0.9499 0.2447
F4 0.2717 0.0501 0.7553
F5 0.7784 0.0501 0.7553
F6 0.7283 0.9499 0.2447
Cu1 0.9054 0.8109 0.7387
Cu2 0.0946 0.1891 0.2613
Tl1 0.2694 0.5388 0.8357
Tl2 0.7306 0.4612 0.1643
Li1 0.5000 0.0000 0.5000

Calculated values
* formation energy (no corrections): -1741 meV per atom
* symmetry: C2/m, No. 12
* DOS at the Fermi energy: 0.600 states/eV per atom
* M_tot: 1.00 μB/f.u.
* VASP energy: -4.11 eV/atom


[2]
Entry from Alexandria via LeMat-Bulk: SbP2Os after structural relaxation (PBE-GGA).

a b c (Å): 5.5852 5.5852 5.5852
angles (deg): 148.88 122.79 66.57
Atoms (fractional coordinates):
P1 0.4465 0.4465 0.0000
P2 0.0535 0.0535 0.0000
Os1 0.2500 0.7500 0.5000
Sb1 0.7500 0.2500 0.5000

Calculated values
* formation energy (no corrections): 460 meV per atom
* symmetry: Immm, No. 71
* DOS at the Fermi energy: 0.411 states/eV per atom
* M_tot: 0.00 μB/f.u.
* VASP energy: -6.08 eV/atom


[3]
Entry from Alexandria via LeMat-Bulk: HfMg2Pt5 after structural relaxation (PBE-GGA).

a b c (Å): 4.0822 4.0822 8.2612
angles (deg): 104.30 104.30 90.00
Atoms (fractional coordinates):
Pt1 0.6287 0.1287 0.2575
Pt2 0.1287 0.6287 0.2575
Pt3 0.5000 0.5000 0.0000
Pt4 0.8713 0.3713 0.7425
Pt5 0.3713 0.8713 0.7425
Hf1 0.0000 0.0000 0.0000
Mg1 0.7485 0.7485 0.4970
Mg2 0.2515 0.2515 0.5030

Calculated values
* symmetry: I4/mmm, No. 139
* DOS at the Fermi energy: 0.489 states/eV per atom
* M_tot: 0.00 μB/f.u.
* E_form: -0.944 eV per atom
* VASP energy: -6.36 eV/atom


[4]
Entry from Alexandria via LeMat-Bulk: Ge2TeS after structural relaxation (PBE-GGA).

a b c (Å): 4.0757 6.0038 8.1969
angles (deg): 97.64 90.00 90.00
Atoms (fractional coordinates):
Ge1 0.7500 0.7175 0.9398
Ge2 0.2500 0.2815 0.5986
Ge3 0.2500 0.2825 0.0602
Ge4 0.7500 0.7185 0.4014
S1 0.2500 0.6811 0.1383
S2 0.7500 0.3189 0.8617
Te1 0.2500 0.7764 0.6478
Te2 0.7500 0.2236 0.3522

Calculated values
* energy above the most stable polymorph in this dataset: 0.000 eV per atom
* formation energy (no corrections): -127 meV per atom
* symmetry: P2_1/m, No. 11
* M_tot: 0.00 μB/f.u.
* VASP energy: -4.25 eV/atom


[5]
Entry from Alexandria via LeMat-Bulk: SrEr2Te after structural relaxation (PBE-GGA).

a b c (Å): 3.9259 3.9259 11.3378
angles (deg): 80.03 80.03 60.00
Atoms (fractional coordinates):
Er1 0.1073 0.1073 0.6781
Er2 0.8927 0.8927 0.3219
Sr1 0.0000 0.0000 0.0000
Te1 0.5000 0.5000 0.5000

Calculated values
* formation energy (no corrections): -270 meV per atom
* symmetry: R-3m, No. 166
* DOS at the Fermi energy: 1.129 states/eV per atom
* M_tot: 0.00 μB/f.u.
* VASP energy: -3.76 eV/atom


[6]
Entry from Alexandria via LeMat-Bulk: BaScAg2 after structural relaxation (PBE-GGA).

a b c (Å): 4.7761 4.7761 6.8024
angles (deg): 69.18 69.18 60.13
Atoms (fractional coordinates):
Ag1 0.7017 0.7017 0.8965
Ag2 0.9896 0.9896 0.0311
Sc1 0.3093 0.3093 0.0726
Ba1 0.4994 0.4994 0.4998

Calculated values
* energy above the most stable polymorph in this dataset: 0.125 eV per atom
* symmetry: Cm, No. 8
* DOS at the Fermi energy: 0.781 states/eV per atom
* M_tot: 0.62 μB/f.u.
* E_form: -0.049 eV per atom
* VASP energy: -3.54 eV/atom


The highest M_tot belongs to which entry?
LiTl2Cu2F6


Which value of M_tot does entry 1 give?
1.00 μB/f.u.